--- w ---
The following is a DFT calculation (PBE) of an optimized crystal structure of CaTeBr2.

a = 4.951 Å, b = 4.951 Å, c = 4.649 Å
α = 90.00°, β = 90.00°, γ = 90.00°
Sites, in units of the cell vectors:
Br 0.500 0.500 0.000
Te 0.000 0.500 0.500
Br 0.000 0.000 0.000
Ca 0.500 0.000 0.500

Calculated values
- DOS at the Fermi energy (states/eV per atom) = 0.611
- calculated volume (Å³/atom) = 28.5


--- x ---
The following is a DFT calculation (PBE) of an optimized crystal structure of CaTeBr2.

a = 3.998 Å, b = 6.054 Å, c = 4.733 Å
α = 90.00°, β = 90.00°, γ = 90.00°
Sites, in units of the cell vectors:
Br 0.000 0.000 0.000
Ca 0.500 0.000 0.500
Te 0.000 0.500 0.500
Br 0.500 0.500 0.000

Calculated values
- DOS at the Fermi energy (states/eV per atom) = 0.220
- calculated volume (Å³/atom) = 28.6


--- y ---
The following is a DFT calculation (PBE) of an optimized crystal structure of CaTeBr2.

a = 5.527 Å, b = 5.527 Å, c = 5.527 Å
α = 60.00°, β = 60.00°, γ = 60.00°
Site moments in Bohr magnetons follow the coordinates.
Sites, in units of the cell vectors:
Ca 0.500 0.500 0.500  0.05
Te 0.750 0.750 0.750  0.60
Br 0.000 0.000 0.000  0.43
Br 0.250 0.250 0.250  0.13

Calculated values
- DOS at the Fermi energy (states/eV per atom) = 1.177
- calculated volume (Å³/atom) = 29.8


--- z ---
The following is a DFT calculation (PBE) of an optimized crystal structure of CaTeBr2.

a = 6.774 Å, b = 6.774 Å, c = 6.774 Å
α = 142.21°, β = 142.21°, γ = 54.51°
Sites, in units of the cell vectors:
Br 0.250 0.750 0.500
Te 0.750 0.250 0.500
Br 0.000 0.000 0.000
Ca 0.500 0.500 0.000

Calculated values
- DOS at the Fermi energy (states/eV per atom) = 0.111
- calculated volume (Å³/atom) = 29.0


Ranking the structures above from most stable to least stable yields x, z, w, y.